Computed, not measured: an optimized crystal structure of La2OsWS at the PBE level of DFT.

Computed properties:
N(E_F): 3.9 states/eV/cell
Crystal system: tetragonal
Calculated total energy: -7.2603 eV per atom
SG: No. 123
Formation energy without anion corrections: 373 meV/atom

Cell: 5.414 4.364 5.414 Å, 90.00 90.00 90.00°
Atoms (fractional coordinates):
La  0.500  0.000  0.000
La  0.000  0.000  0.500
S  0.000  0.000  0.000
W  0.000  0.500  0.000
Os  0.500  0.500  0.500